Below is a relaxed structure of TcPt2Br, with properties calculated at the PBE-GGA level.

Structure (extended XYZ):
```
4
Lattice="1.4555 0.8403 9.2831 -1.4555 0.8403 9.2831 0.0000 -1.6806 9.2831" Properties=species:S:1:pos:R:3 pbc="T T T"
Tc 0.0000 0.0000 0.0000
Pt 0.0000 0.0000 13.6973
Pt 0.0000 0.0000 20.6851
Br 0.0000 0.0000 7.3203
```

- ΔE to the lowest computed polymorph (meV/atom) = 127.7
- magnetization (μB/cell) = 0.0
- space group = No. 160
- uncorrected formation energy (eV per atom) = 0.338

Below is a relaxed structure of Na2ScReO6, with properties calculated at the PBE-GGA level.

Structure (extended XYZ):
```
10
Lattice="2.7749 1.6021 4.5626 -2.7749 1.6021 4.5626 0.0000 -3.2042 4.5626" Properties=species:S:1:pos:R:3 pbc="T T T"
Na 0.0000 0.0000 3.3864
Na 0.0000 0.0000 10.3013
Sc 0.0000 0.0000 6.8438
Re 0.0000 0.0000 0.0000
O -0.3623 -1.6932 5.6481
O -1.6475 -0.5328 8.0396
O -1.2852 1.1604 5.6481
O 1.2852 -1.1604 8.0396
O 1.6475 0.5328 5.6481
O 0.3623 1.6932 8.0396
```

- magnetization (μB/cell) = 0.0
- space group = No. 148
- uncorrected formation energy (eV per atom) = -2.176